Entry 1:
First-principles (PBE-GGA) data for Li3InAu3 after structural relaxation, as listed in the Alexandria database.

Results
E_tot (Ry/atom): -0.22424

CIF file:
```
data_Li3InAu3
_space_group_name_H-M_alt 'C m m m'
_space_group_IT_number 65
_space_group_name_Hall '-C 2 2'
_cell_length_a 8.885
_cell_length_b 9.194
_cell_length_c 6.207
_cell_angle_alpha 90.00
_cell_angle_beta 90.00
_cell_angle_gamma 90.00
loop_
_atom_site_label
_atom_site_type_symbol
_atom_site_fract_x
_atom_site_fract_y
_atom_site_fract_z
Li1 Li 0.000 0.236 0.000
Li2 Li 0.000 0.250 0.500
Li3 Li 0.248 0.500 0.500
In1 In 0.204 0.500 0.000
Au1 Au 0.000 0.000 0.254
Au2 Au 0.250 0.250 0.265
```

Entry 2:
First-principles (PBE-GGA) data for Li4InAu2 after structural relaxation, as listed in the Alexandria database.

Results
E_tot (Ry/atom): -0.19002

CIF file:
```
data_Li4InAu2
_space_group_name_H-M_alt 'I 4/m m m'
_space_group_IT_number 139
_space_group_name_Hall '-I 4 2'
_cell_length_a 4.990
_cell_length_b 4.990
_cell_length_c 10.645
_cell_angle_alpha 90.00
_cell_angle_beta 90.00
_cell_angle_gamma 90.00
loop_
_atom_site_label
_atom_site_type_symbol
_atom_site_fract_x
_atom_site_fract_y
_atom_site_fract_z
Li1 Li 0.000 0.500 0.000
Li2 Li 0.000 0.500 0.250
In1 In 0.000 0.000 0.000
Au1 Au 0.000 0.000 0.369
```

Entry 3:
First-principles (PBE-GGA) data for Li3InAu2 after structural relaxation, as listed in the Alexandria database.

Results
E_tot (Ry/atom): -0.21563

CIF file:
```
data_Li3InAu2
_space_group_name_H-M_alt 'C 1 2/m 1'
_space_group_IT_number 12
_cell_length_a 14.291
_cell_length_b 4.543
_cell_length_c 6.760
_cell_angle_alpha 90.00
_cell_angle_beta 92.58
_cell_angle_gamma 90.00
loop_
_space_group_symop_operation_xyz
'x,y,z'
'-x,-y,-z'
'-x,y,-z'
'x,-y,z'
'x+1/2,y+1/2,z'
'-x+1/2,-y+1/2,-z'
'-x+1/2,y+1/2,-z'
'x+1/2,-y+1/2,z'
loop_
_atom_site_label
_atom_site_type_symbol
_atom_site_fract_x
_atom_site_fract_y
_atom_site_fract_z
Li1 Li 0.058 0.000 0.340
Li2 Li 0.112 0.500 0.065
Li3 Li 0.182 0.500 0.448
In1 In 0.150 0.000 0.792
Au1 Au 0.039 0.500 0.692
Au2 Au 0.222 0.000 0.196
```

Entry 4:
First-principles (PBE-GGA) data for Li12InAu6 after structural relaxation, as listed in the Alexandria database.

Results
E_tot (Ry/atom): -0.20362

CIF file:
```
data_Li12InAu6
_space_group_name_H-M_alt 'R -3'
_space_group_IT_number 148
_space_group_name_Hall '-R 3'
_cell_length_a 11.6752
_cell_length_b 11.6752
_cell_length_c 8.0100
_cell_angle_alpha 90.00
_cell_angle_beta 90.00
_cell_angle_gamma 120.00
loop_
_atom_site_label
_atom_site_type_symbol
_atom_site_fract_x
_atom_site_fract_y
_atom_site_fract_z
Li1 Li 0.0505 0.2153 0.4105
Li2 Li 0.0532 0.2539 0.0813
In1 In 0.0000 0.0000 0.0000
Au1 Au 0.0443 0.2249 0.7504
```